Record 1
A plane-wave DFT calculation with SCAN was carried out for InAs at its PBEsol-relaxed geometry.

abc: 3.7140 5.3681 7.5498
angles: 93.93 90.00 110.24
Last column: nearest neighbours and their distance in Å.
Element x y z (fractional)
In  0.7322  0.4644  0.3504  5 As 2.80-3.07
In  0.9833  0.9666  0.6295  4 As 2.80-3.02
In  0.7261  0.4523  0.9231  5 As 2.85-3.06
As  0.2619  0.5238  0.6444  7 In 2.80-2.91
As  0.0045  0.0091  0.0309  2 As 2.58, 1 In 2.86
As  0.4586  0.9172  0.2550  2 As 2.58, 1 In 2.80

Output
symmetry: Cm
formation energy from the elements: 71.1 meV per atom
V: 47.0 Å³/f.u.
M_tot: 0.000 μB per formula unit
DOS at the Fermi energy: 2.393 states/eV per cell



Record 2
A plane-wave DFT calculation with SCAN was carried out for InAs2 at its PBEsol-relaxed geometry.

abc: 5.6214 5.6214 5.6214
angles: 93.58 117.95 117.95
Last column: nearest neighbours and their distance in Å.
Element x y z (fractional)
As  0.5000  0.3479  0.1521  1 As 2.49
As  0.8043  0.1521  0.6521  1 As 2.49
As  0.5000  0.6521  0.8479  1 As 2.49
As  0.1957  0.8479  0.3479  1 As 2.49
In  0.0000  0.2500  0.2500  8 As 2.92
In  0.0000  0.7500  0.7500  8 As 2.92

Output
symmetry: I4/mcm
formation energy from the elements: 128.3 meV per atom
V: 64.6 Å³/f.u.
M_tot: 0.000 μB per formula unit
DOS at the Fermi energy: 2.681 states/eV per cell



Record 3
A plane-wave DFT calculation with SCAN was carried out for InAs at its PBEsol-relaxed geometry.

abc: 3.9394 6.7900 6.8242
angles: 90.00 90.00 90.00
Last column: nearest neighbours and their distance in Å.
Element x y z (fractional)
In  0.7500  0.0000  0.7500  6 As 2.84
In  0.2500  0.5000  0.2500  6 As 2.84
In  0.7500  0.5000  0.7500  6 As 2.84
In  0.2500  0.0000  0.2500  6 As 2.84
As  0.7500  0.7499  0.4168  6 In 2.84
As  0.2500  0.2501  0.5832  6 In 2.84
As  0.2500  0.7501  0.9168  6 In 2.84
As  0.7500  0.2499  0.0832  6 In 2.84

Output
symmetry: P6_3/mmc
formation energy from the elements: -8.9 meV per atom
V: 45.6 Å³/f.u.
M_tot: 0.000 μB per formula unit
DOS at the Fermi energy: 3.238 states/eV per cell



Record 4
A plane-wave DFT calculation with SCAN was carried out for InAs at its PBEsol-relaxed geometry.

abc: 4.3013 4.3013 4.3013
angles: 60.00 60.00 60.00
Last column: nearest neighbours and their distance in Å.
Element x y z (fractional)
In  0.2500  0.2500  0.2500  4 As 2.63
As  0.0000  0.0000  0.0000  4 In 2.63

Output
symmetry: F-43m
formation energy from the elements: -304.4 meV per atom
V: 56.3 Å³/f.u.
M_tot: 0.000 μB per formula unit
DOS at the Fermi energy: 0.078 states/eV per cell



Record 5
A plane-wave DFT calculation with SCAN was carried out for InAs2 at its PBEsol-relaxed geometry.

abc: 3.8048 3.8048 5.2936
angles: 90.00 90.00 120.00
Last column: nearest neighbours and their distance in Å.
Element x y z (fractional)
As  0.3333  0.6667  0.6380  3 As 2.64, 3 In 2.92
As  0.6667  0.3333  0.3620  3 As 2.64, 3 In 2.92
In  0.0000  0.0000  0.0000  6 As 2.92

Output
symmetry: P-3m1
formation energy from the elements: 73.0 meV per atom
V: 66.4 Å³/f.u.
M_tot: 0.001 μB per formula unit
DOS at the Fermi energy: 1.234 states/eV per cell



Record 6
A plane-wave DFT calculation with SCAN was carried out for InAs2 at its PBEsol-relaxed geometry.

abc: 3.6773 5.6862 6.6327
angles: 91.13 106.09 90.00
Last column: nearest neighbours and their distance in Å.
Element x y z (fractional)
As  0.8475  0.2512  0.6949  2 As 2.60, 4 In 2.81-2.91
As  0.4917  0.2777  0.9833  3 As 2.53-2.60
As  0.1525  0.7488  0.3051  2 As 2.60, 4 In 2.81-2.91
As  0.5083  0.7223  0.0167  3 As 2.53-2.60
In  0.1704  0.2417  0.3408  6 As 2.81-2.94
In  0.8296  0.7583  0.6592  6 As 2.81-2.94

Output
symmetry: C2/m
formation energy from the elements: 35.9 meV per atom
V: 66.6 Å³/f.u.
M_tot: 0.000 μB per formula unit
DOS at the Fermi energy: 2.572 states/eV per cell



Record 7
A plane-wave DFT calculation with SCAN was carried out for InAs2 at its PBEsol-relaxed geometry.

abc: 2.9975 4.9012 4.9012
angles: 120.00 90.00 90.00
Last column: nearest neighbours and their distance in Å.
Element x y z (fractional)
As  0.5000  0.3333  0.6667  5 As 2.83-3.00
As  0.5000  0.6667  0.3333  5 As 2.83-3.00
In  0.0000  0.0000  0.0000  2 In 3.00, 12 As 3.20

Output
symmetry: P6/mmm
formation energy from the elements: 280.6 meV per atom
V: 62.4 Å³/f.u.
M_tot: 0.000 μB per formula unit
DOS at the Fermi energy: 1.172 states/eV per cell



Record 8
A plane-wave DFT calculation with SCAN was carried out for In2As at its PBEsol-relaxed geometry.

abc: 5.5541 5.8008 5.8008
angles: 76.75 61.40 61.40
Last column: nearest neighbours and their distance in Å.
Element x y z (fractional)
In  0.6521  0.1959  0.5000  4 As 3.07, 3 In 3.10-3.42
In  0.1521  0.5000  0.1959  4 As 3.07, 3 In 3.10-3.42
In  0.8479  0.5000  0.8041  4 As 3.07, 3 In 3.10-3.42
In  0.3479  0.8041  0.5000  4 As 3.07, 3 In 3.10-3.42
As  0.2500  0.0000  0.0000  2 As 2.78, 8 In 3.07
As  0.7500  0.0000  0.0000  2 As 2.78, 8 In 3.07

Output
symmetry: I4/mcm
formation energy from the elements: 114.2 meV per atom
V: 72.0 Å³/f.u.
M_tot: 0.000 μB per formula unit
DOS at the Fermi energy: 2.212 states/eV per cell